First-principles (PBE) data for an optimized crystal structure of BaFeSi2, as listed in the Alexandria database.

```
4
Lattice="4.3570 0.0000 0.0000 0.0000 4.3570 0.0000 0.0000 0.0000 4.6382" Properties=species:S:1:pos:R:3 pbc="T T T"
Ba 0.0000 0.0000 0.0000
Fe 2.1785 2.1785 0.0000
Si 0.0000 2.1785 2.3191
Si 2.1785 0.0000 2.3191
```

Output
space-group type = P4/mmm (123)
formation energy (no corrections) = 0.71 eV per atom
calculated volume = 22.01 Å³ per atom
density of states at the Fermi level = 4.98 states/eV per cell
DFT total energy = -18.38 eV/cell

---

First-principles (PBE) data for an optimized crystal structure of ZnTeSe2N, as listed in the Alexandria database.

```
5
Lattice="5.4016 0.0000 0.0000 0.0000 5.4016 0.0000 0.0000 0.0000 3.9430" Properties=species:S:1:pos:R:3 pbc="T T T"
Zn 0.0000 0.0000 0.0000
Te 2.7008 2.7008 1.9715
Se 0.0000 2.7008 1.9715
Se 2.7008 0.0000 1.9715
N 2.7008 2.7008 0.0000
```

Output
space-group type = P4/mmm (123)
formation energy (no corrections) = 0.92 eV per atom
calculated volume = 23.01 Å³ per atom
density of states at the Fermi level = 3.36 states/eV per cell
DFT total energy = -15.10 eV/cell
energy relative to the lowest polymorph listed for this composition = 81 meV per atom

---

> The highest formation energy (no corrections) belongs to which entry?

ZnTeSe2N

---

> Number 1 is which compound?

BaFeSi2